Record 1
# Ca4MgHg5

A relaxed Ca4MgHg5 crystal (PBE, Alexandria).

## Properties
ΔH_f (0 K): -0.489 eV per atom
density of states at the Fermi level: 6.68 states/eV per cell
V: 26.04 Å³/atom
raw total energy: -0.05879 Ha/atom

Cell lengths 3.721, 3.721, 18.804 Å; angles 90.00, 90.00, 90.00 degrees
Space group P4/mmm (No. 123)
Asymmetric unit:
Ca 0.000 0.000 0.104 [2 per cell]
Ca 0.000 0.000 0.311 [2 per cell]
Mg 0.000 0.000 0.500 [1 per cell]
Hg 0.500 0.500 0.000 [1 per cell]
Hg 0.500 0.500 0.207 [2 per cell]
Hg 0.500 0.500 0.413 [2 per cell]

Record 2
# Bi2RhPb2

A relaxed Bi2RhPb2 crystal (PBE, Alexandria).

## Properties
ΔH_f (0 K): -0.025 eV per atom
density of states at the Fermi level: 16.39 states/eV per cell
V: 29.38 Å³/atom
ΔE to the lowest computed polymorph: 0.034 eV per atom
raw total energy: -0.16653 Ha/atom

Cell lengths 4.725, 4.725, 26.323 Å; angles 90.00, 90.00, 90.00 degrees
Space group I4_1/amd (No. 141, origin choice 2)
Asymmetric unit:
Bi 0.000 0.250 0.070 [8 per cell]
Rh 0.000 0.250 0.875 [4 per cell]
Pb 0.000 0.250 0.198 [8 per cell]

We obtain calculated density values of 7.57, 10.57 Mg/m³ for the records listed above, in that order.